# 1
Entry from the Alexandria database: crystalline KTa2 at its relaxed geometry (PBE).

Unit cell a=9.8385 b=3.2690 c=12.6817 alpha=90.00 beta=107.89 gamma=90.00
Space group C2/m (No. 12)
Asymmetric unit:
1 K 0.1878 0.0000 0.1585
2 Ta 0.0272 0.5000 0.3857
3 Ta 0.1666 0.0000 0.5567

Computed properties:
Energy relative to the lowest polymorph listed for this composition: 0.102 eV per atom
Mass density: 6.9 g cm⁻³



# 2
Entry from the Alexandria database: crystalline Sm2DyEr9 at its relaxed geometry (PBE).

Unit cell a=11.1559 b=11.1559 c=3.4811 alpha=90.00 beta=90.00 gamma=120.00
Space group P6/mmm (No. 191)
Asymmetric unit:
1 Sm 0.3333 0.6667 0.0000
2 Dy 0.0000 0.0000 0.0000
3 Er 0.0000 0.5000 0.0000
4 Er 0.1750 0.3500 0.5000

Computed properties:
Energy relative to the lowest polymorph listed for this composition: 0.042 eV per atom
Mass density: 8.7 g cm⁻³



# 3
Entry from the Alexandria database: crystalline PmPuMgAg at its relaxed geometry (PBE).

Unit cell a=7.5406 b=7.5406 c=7.5406 alpha=90.00 beta=90.00 gamma=90.00
Space group F-43m (No. 216)
Asymmetric unit:
1 Pm 0.0000 0.0000 0.0000
2 Pu 0.0000 0.0000 0.5000
3 Mg 0.2500 0.2500 0.2500
4 Ag 0.2500 0.2500 0.7500

Computed properties:
Mass density: 8.1 g cm⁻³



Formation energy from the elements
In order: 0.651, 0.065, 0.075
Unit: eV per atom